[1]
# Co7Re5 | OQMD | PBE | relaxed
data_Co7Re5
_space_group_name_H-M_alt 'P 63/m m c'
_space_group_IT_number 194
_space_group_name_Hall '-P 6c 2c'
_cell_length_a 4.8703
_cell_length_b 4.8703
_cell_length_c 15.3009
_cell_angle_alpha 90.00
_cell_angle_beta 90.00
_cell_angle_gamma 120.00
loop_
_atom_site_label
_atom_site_type_symbol
_atom_site_fract_x
_atom_site_fract_y
_atom_site_fract_z
_atom_site_occupancy
Co1 Co 0.0000 0.5000 0.0000 1
Co2 Co 0.3333 0.6667 0.1198 1
Co3 Co 0.3333 0.6667 0.6571 1
Re1 Re 0.0000 0.0000 0.0840 1
Re2 Re 0.1638 0.3276 0.2500 1
# - raw total energy (eV per atom) = -8.9277
# - crystal system = hexagonal
# - energy relative to the elements (meV per atom) = 393.9
# - energy above the most stable polymorph in this dataset (meV per atom) = 58

***

[2]
# ScCuSnIr | OQMD | PBE | relaxed
data_ScCuSnIr
_space_group_name_H-M_alt 'F -4 3 m'
_space_group_IT_number 216
_space_group_name_Hall 'F -4 2 3'
_cell_length_a 6.462
_cell_length_b 6.462
_cell_length_c 6.462
_cell_angle_alpha 90.00
_cell_angle_beta 90.00
_cell_angle_gamma 90.00
loop_
_atom_site_label
_atom_site_type_symbol
_atom_site_fract_x
_atom_site_fract_y
_atom_site_fract_z
_atom_site_occupancy
Sc1 Sc 0.000 0.000 0.000 1
Cu1 Cu 0.250 0.250 0.750 1
Sn1 Sn 0.000 0.000 0.500 1
Ir1 Ir 0.250 0.250 0.250 1
# - raw total energy (eV per atom) = -6.2386
# - crystal system = cubic
# - energy above the most stable polymorph in this dataset (meV per atom) = 0

***

[3]
# NdErZn2Ge2 | OQMD | PBE | relaxed
data_NdErZn2Ge2
_space_group_name_H-M_alt 'P 63/m m c'
_space_group_IT_number 194
_space_group_name_Hall '-P 6c 2c'
_cell_length_a 4.2639
_cell_length_b 4.2639
_cell_length_c 15.8446
_cell_angle_alpha 90.00
_cell_angle_beta 90.00
_cell_angle_gamma 120.00
loop_
_atom_site_label
_atom_site_type_symbol
_atom_site_fract_x
_atom_site_fract_y
_atom_site_fract_z
_atom_site_occupancy
Nd1 Nd 0.0000 0.0000 0.0000 1
Er1 Er 0.0000 0.0000 0.2500 1
Zn1 Zn 0.3333 0.6667 0.1522 1
Ge1 Ge 0.3333 0.6667 0.6190 1
# - raw total energy (eV per atom) = -4.1950
# - crystal system = hexagonal
# - energy above the most stable polymorph in this dataset (meV per atom) = 0

***

[4]
# CuHgBIr | OQMD | PBE | relaxed
data_CuHgBIr
_space_group_name_H-M_alt 'F -4 3 m'
_space_group_IT_number 216
_space_group_name_Hall 'F -4 2 3'
_cell_length_a 6.078
_cell_length_b 6.078
_cell_length_c 6.078
_cell_angle_alpha 90.00
_cell_angle_beta 90.00
_cell_angle_gamma 90.00
loop_
_atom_site_label
_atom_site_type_symbol
_atom_site_fract_x
_atom_site_fract_y
_atom_site_fract_z
_atom_site_occupancy
Cu1 Cu 0.000 0.000 0.000 1
Hg1 Hg 0.250 0.250 0.250 1
B1 B 0.250 0.250 0.750 1
Ir1 Ir 0.000 0.000 0.500 1
# - raw total energy (eV per atom) = -3.9324
# - crystal system = cubic
# - energy above the most stable polymorph in this dataset (meV per atom) = 0

***

[5]
# Er3Sc3FeTe2 | OQMD | PBE | relaxed
data_Er3Sc3FeTe2
_space_group_name_H-M_alt 'P -6 2 m'
_space_group_IT_number 189
_space_group_name_Hall 'P -6 -2'
_cell_length_a 8.0641
_cell_length_b 8.0641
_cell_length_c 3.8226
_cell_angle_alpha 90.00
_cell_angle_beta 90.00
_cell_angle_gamma 120.00
loop_
_atom_site_label
_atom_site_type_symbol
_atom_site_fract_x
_atom_site_fract_y
_atom_site_fract_z
_atom_site_occupancy
Er1 Er 0.0000 0.2396 0.0000 1
Sc1 Sc 0.0000 0.6084 0.5000 1
Fe1 Fe 0.0000 0.0000 0.5000 1
Te1 Te 0.3333 0.6667 0.0000 1
# - raw total energy (eV per atom) = -5.7993
# - crystal system = hexagonal
# - energy above the most stable polymorph in this dataset (meV per atom) = 113

***

[6]
# RbPrTlTe3 | OQMD | PBE | relaxed
data_RbPrTlTe3
_space_group_name_H-M_alt 'C m c m'
_space_group_IT_number 63
_space_group_name_Hall '-C 2c 2'
_cell_length_a 4.765
_cell_length_b 16.378
_cell_length_c 12.317
_cell_angle_alpha 90.00
_cell_angle_beta 90.00
_cell_angle_gamma 90.00
loop_
_atom_site_label
_atom_site_type_symbol
_atom_site_fract_x
_atom_site_fract_y
_atom_site_fract_z
_atom_site_occupancy
Rb1 Rb 0.000 0.244 0.250 1
Pr1 Pr 0.000 0.000 0.000 1
Tl1 Tl 0.000 0.459 0.750 1
Te1 Te 0.000 0.074 0.750 1
Te2 Te 0.000 0.368 0.536 1
# - raw total energy (eV per atom) = -3.8159
# - crystal system = orthorhombic